Ho2Er5Th4: relaxed, GGA-PBE.

Cell: 6.6130 8.9589 10.2087 Å, 39.26 71.10 68.34°
Last column: nearest neighbours and their distance in Å.
Sites, in units of the cell vectors:
Ho1 0.1955 0.9299 0.6792  5 Th 3.35-3.64, 3 Er 3.46-3.65
Th1 0.4058 0.7780 0.4105  2 Th 3.32-3.54, 6 Er 3.63-3.69, 1 Ho 3.64
Er1 0.0000 0.5000 0.5000  4 Er 3.27, 2 Ho 3.65
Er2 0.8255 0.7345 0.0945  4 Er 3.17-3.44, 2 Th 3.30-3.38, 1 Ho 3.46
Th2 0.7519 0.6576 0.8387  4 Er 3.30-3.38, 1 Th 3.32, 4 Ho 3.35-3.64
Er3 0.1745 0.2655 0.9055  4 Er 3.17-3.44, 2 Th 3.30-3.38, 1 Ho 3.46
Ho2 0.8045 0.0701 0.3208  5 Th 3.35-3.64, 3 Er 3.46-3.65
Th3 0.2481 0.3424 0.1613  4 Er 3.30-3.38, 1 Th 3.32, 4 Ho 3.35-3.64
Er4 0.6546 0.2655 0.9055  4 Er 3.17-3.44, 2 Th 3.30-3.38, 1 Ho 3.46
Th4 0.5942 0.2220 0.5895  2 Th 3.32-3.54, 6 Er 3.63-3.69, 1 Ho 3.64
Er5 0.3454 0.7345 0.0945  4 Er 3.17-3.44, 2 Th 3.30-3.38, 1 Ho 3.46

Computed properties:
relative energy among the computed polymorphs	172	meV/atom
SG	C2/m, No. 12
size of the total moment	0.0002	μB/atom
crystal system	monoclinic


Er3Al2In3: relaxed, GGA-PBE.

Cell: 4.5183 6.0115 15.3764 Å, 90.00 90.00 112.07°
Last column: nearest neighbours and their distance in Å.
Sites, in units of the cell vectors:
Er1 0.0720 0.1440 0.8869  6 In 3.14-3.36, 3 Al 3.20-3.28
In1 0.3750 0.7500 0.5371  3 Al 2.75-2.94, 1 In 3.01
In2 0.3750 0.7500 0.9629  3 Al 2.75-2.94, 1 In 3.01
In3 0.6218 0.2435 0.7500  2 Al 2.76, 1 Er 3.08
Er2 0.9280 0.8560 0.1131  6 In 3.14-3.36, 3 Al 3.20-3.28
Er3 0.6550 0.3101 0.2500  5 In 3.08-3.36, 4 Al 3.14
Al1 0.7852 0.5703 0.8850  4 In 2.75-2.94
Al2 0.2148 0.4297 0.1150  4 In 2.75-2.94
In4 0.3782 0.7565 0.2500  2 Al 2.76, 1 Er 3.08
Al3 0.2148 0.4297 0.3850  4 In 2.75-2.94
Al4 0.7852 0.5703 0.6150  4 In 2.75-2.94
In5 0.6250 0.2500 0.4629  3 Al 2.75-2.94, 1 In 3.01
Er4 0.9280 0.8560 0.3869  6 In 3.14-3.36, 3 Al 3.20-3.28
Er5 0.3450 0.6899 0.7500  5 In 3.08-3.36, 4 Al 3.14
Er6 0.0720 0.1440 0.6131  6 In 3.14-3.36, 3 Al 3.20-3.28
In6 0.6250 0.2500 0.0371  3 Al 2.75-2.94, 1 In 3.01

Computed properties:
SG	Cmcm, No. 63
size of the total moment	0.0000	μB/atom
crystal system	orthorhombic


no.,V (A^3/atom),calculated density (Mg/m³),formation enthalpy at 0 K (eV per atom)
1,32.273,9.80,0.195
2,24.190,7.72,-0.398